Record 1
GGA-PBE PmHo2ThBi4, optimized geometry; symmetry = No. 10; formation energy from the elements = -0.805 eV/atom; total DFT energy (no corrections) = -5.4115 eV per atom
1.0
4.5339 0.0000 0.0000
0.0000 7.8150 -0.1472
0.0000 2.7578 7.3406
Bi Pm Ho Th
4 1 2 1
Cartesian
4.5339 2.5845 1.8177 Bi
0.0001 7.9883 5.3756 Bi
2.2670 3.9587 5.4990 Bi
2.2670 6.6141 1.6943 Bi
2.2670 3.9075 -0.0736 Pm
2.2670 1.3789 3.6703 Ho
0.0000 2.7578 7.3406 Ho
0.0000 5.2864 3.5967 Th

---

Record 2
GGA-PBE Pm3NdDy4, optimized geometry; symmetry = No. 10; formation energy from the elements = 0.016 eV/atom; total DFT energy (no corrections) = -4.6623 eV per atom; excess energy over the best structure of this formula in the dataset = 0 meV/atom
1.0
-1.8673 0.7884 -2.9861
-2.1867 -6.6776 3.9835
-8.3935 6.2146 2.5331
Dy Pm Nd
4 3 1
Cartesian
-2.6507 -0.1152 1.6319 Dy
-9.7969 0.4407 1.8987 Dy
-4.6741 -3.0547 2.1304 Dy
-7.7736 3.3801 1.4002 Dy
-1.0934 -3.3388 1.9918 Pm
-6.2238 0.1627 1.7653 Pm
-4.1968 3.1073 1.2665 Pm
-0.9337 0.3942 -1.4930 Nd

---

Record 3
GGA-PBE ZrTcW, optimized geometry; symmetry = No. 156; formation energy from the elements = 0.004 eV/atom; total DFT energy (no corrections) = -10.6188 eV per atom; excess energy over the best structure of this formula in the dataset = 240 meV/atom
1.0
4.5178 0.0000 0.0000
-2.2589 3.9125 0.0000
0.0000 0.0000 2.9239
Zr W Tc
1 1 1
Cartesian
0.0000 2.6084 1.9836 Zr
2.2589 1.3042 0.9093 W
0.0000 0.0000 0.0311 Tc

---

Record 4
GGA-PBE TaNb2Pt, optimized geometry; symmetry = No. 123; formation energy from the elements = -0.291 eV/atom; total DFT energy (no corrections) = -9.7992 eV per atom; excess energy over the best structure of this formula in the dataset = 27 meV/atom
1.0
3.4658 0.0000 0.0000
0.0000 4.4907 0.0000
0.0000 0.0000 4.4907
Nb Pt Ta
2 1 1
Cartesian
0.0000 0.0000 2.2453 Nb
0.0000 2.2453 0.0000 Nb
1.7329 2.2453 2.2453 Pt
1.7329 0.0000 0.0000 Ta

---

Record 5
GGA-PBE Sr2Cd2Pb, optimized geometry; symmetry = No. 12; formation energy from the elements = -0.389 eV/atom; total DFT energy (no corrections) = -2.1691 eV per atom; excess energy over the best structure of this formula in the dataset = 0 meV/atom
1.0
4.9557 0.0000 0.0000
2.4778 6.0524 -0.4650
2.4778 0.1341 11.1156
Pb Cd Sr
2 4 4
Cartesian
4.9557 5.4420 3.2729 Pb
4.9557 0.7445 7.3777 Pb
7.4335 4.4089 4.6397 Cd
2.4778 0.9804 1.1207 Cd
2.4778 1.7775 6.0109 Cd
7.4335 5.2061 9.5299 Cd
4.9557 1.8955 3.6173 Sr
4.9557 4.2910 7.0333 Sr
7.4335 1.7712 9.7739 Sr
2.4778 4.4153 0.8767 Sr

---

Record 6
GGA-PBE LiTbPaRu, optimized geometry; symmetry = No. 216; formation energy from the elements = -0.054 eV/atom; total DFT energy (no corrections) = -6.3834 eV per atom
1.0
-3.5116 3.0748 1.5006
-2.0382 -0.5768 4.4217
0.9310 3.2304 3.5688
Ru Tb Li Pa
1 1 1 1
Cartesian
-2.3094 2.8642 4.7455 Ru
-1.1547 1.4321 2.3728 Tb
0.0000 0.0000 0.0000 Li
-3.4641 4.2963 7.1183 Pa

---

Record 7
GGA-PBE BaSbC3, optimized geometry; symmetry = No. 221; formation energy from raw total energies = 3.42 eV/atom; total DFT energy (no corrections) = -3.3201 eV per atom; excess energy over the best structure of this formula in the dataset = 1478 meV/atom
1.0
4.7652 0.0000 0.0000
0.0000 4.7652 0.0000
0.0000 0.0000 4.7652
Sb C Ba
1 3 1
Cartesian
2.3826 2.3826 2.3826 Sb
0.0000 2.3826 0.0000 C
0.0000 0.0000 2.3826 C
2.3826 0.0000 0.0000 C
0.0000 0.0000 0.0000 Ba

---

Record 8
GGA-PBE LiTlAs3, optimized geometry; symmetry = No. 221; formation energy from the elements = 0.391 eV/atom; total DFT energy (no corrections) = -3.2547 eV per atom; excess energy over the best structure of this formula in the dataset = 509 meV/atom
1.0
4.7831 0.0000 0.0000
0.0000 4.7831 0.0000
0.0000 0.0000 4.7831
Tl As Li
1 3 1
Cartesian
2.3916 2.3916 2.3916 Tl
2.3916 0.0000 0.0000 As
0.0000 2.3916 0.0000 As
0.0000 0.0000 2.3916 As
0.0000 0.0000 0.0000 Li